Here is a relaxed Pa2CuTe6 crystal from Alexandria via LeMat-Bulk. Energies are from PBE-GGA.

Cell and atoms, written as POSCAR:
```
Pa2CuTe6
1.0
6.966 0.000 0.000
0.000 7.826 0.000
-6.668 0.000 9.556
Pa Cu Te
4 2 12
Direct
0.191 0.144 0.244
0.191 0.356 0.744
0.809 0.644 0.256
0.809 0.856 0.756
0.000 0.000 0.500
0.000 0.500 0.000
0.107 0.167 0.942
0.107 0.333 0.442
0.283 0.667 0.942
0.283 0.833 0.442
0.412 0.027 0.752
0.412 0.473 0.252
0.588 0.527 0.748
0.588 0.973 0.248
0.717 0.167 0.558
0.717 0.333 0.058
0.893 0.667 0.558
0.893 0.833 0.058
```

Calculated values
The final energy comes out at -5.26 eV per atom. The calculation puts the uncorrected formation energy at -0.602 eV per atom.